Record 1
# Y3Te

An optimized crystal structure of Y3Te (PBEsol, the Alexandria database).

Cell: 3.8370 3.8370 7.6154 Å, 90.00 90.00 90.00°
Sites, in units of the cell vectors:
Te 0.0000 0.0000 0.0000
Y 0.5000 0.5000 0.7761
Y 0.0000 0.0000 0.5000
Y 0.5000 0.5000 0.2239

Values from the calculation:
As for the density of states at the Fermi level: 4.897 states/eV/cell. As for the space-group type: P4/mmm (123). The calculation puts the formation energy without anion corrections at -0.61 eV per atom. For the polymorph energy (0 for the lowest one), the calculation gives 96 meV per atom.

***

Record 2
# Y5Te

An optimized crystal structure of Y5Te (PBEsol, the Alexandria database).

Cell: 3.7227 6.3090 8.0110 Å, 103.54 90.00 107.16°
Sites, in units of the cell vectors:
Y 0.6951 0.3902 0.9488
Y 0.3418 0.6836 0.6914
Y 0.3995 0.7990 0.2450
Y 0.6846 0.3693 0.3522
Y 0.0558 0.1117 0.6097
Te 0.9898 0.9795 0.9862

Values from the calculation:
As for the density of states at the Fermi level: 6.241 states/eV/cell. As for the space-group type: Cm (8). The calculation puts the formation energy without anion corrections at -0.39 eV per atom. For the polymorph energy (0 for the lowest one), the calculation gives 0 meV per atom.

***

Record 3
# Y3Te

An optimized crystal structure of Y3Te (PBEsol, the Alexandria database).

Cell: 3.7415 5.8631 6.1978 Å, 118.23 107.57 90.00°
Sites, in units of the cell vectors:
Y 0.2780 0.6187 0.5559
Y 0.5000 0.4532 0.0000
Te 0.0000 0.0319 0.0000
Y 0.7220 0.0628 0.4441

Values from the calculation:
As for the density of states at the Fermi level: 4.871 states/eV/cell. As for the space-group type: Imm2 (44). The calculation puts the formation energy without anion corrections at -0.59 eV per atom. For the polymorph energy (0 for the lowest one), the calculation gives 120 meV per atom.

***

Record 4
# Y5Te

An optimized crystal structure of Y5Te (PBEsol, the Alexandria database).

Cell: 4.6809 4.8189 7.7837 Å, 90.00 107.50 90.00°
Sites, in units of the cell vectors:
Y 0.3334 0.5000 0.6668
Y 0.6666 0.5000 0.3332
Y 0.1612 0.0000 0.3223
Y 0.0000 0.5000 0.0000
Te 0.5000 0.0000 0.0000
Y 0.8388 0.0000 0.6777

Values from the calculation:
As for the density of states at the Fermi level: 8.813 states/eV/cell. As for the space-group type: Cmmm (65). The calculation puts the formation energy without anion corrections at -0.31 eV per atom. For the polymorph energy (0 for the lowest one), the calculation gives 82 meV per atom.

***

Record 5
# Y2Te3

An optimized crystal structure of Y2Te3 (PBEsol, the Alexandria database).

Cell: 4.2968 4.2968 10.6210 Å, 78.33 78.33 60.00°
Sites, in units of the cell vectors:
Y 0.6030 0.6030 0.1909
Te 0.0000 0.0000 0.0000
Te 0.2180 0.2180 0.3460
Te 0.7820 0.7820 0.6540
Y 0.3970 0.3970 0.8091

Values from the calculation:
As for the space-group type: R-3m (166). The calculation puts the formation energy without anion corrections at -1.35 eV per atom.

***

Record 6
# Y2Te

An optimized crystal structure of Y2Te (PBEsol, the Alexandria database).

Cell: 6.0467 6.0467 6.0467 Å, 109.03 109.03 110.37°
Sites, in units of the cell vectors:
Y 0.1662 0.6662 0.8325
Y 0.3338 0.1662 0.5000
Y 0.6662 0.8338 0.5000
Te 0.7500 0.7500 0.0000
Te 0.2500 0.2500 0.0000
Y 0.8338 0.3338 0.1675

Values from the calculation:
As for the density of states at the Fermi level: 7.829 states/eV/cell. As for the space-group type: I4/mcm (140). The calculation puts the formation energy without anion corrections at -0.85 eV per atom.

***

Record 7
# Y3Te

An optimized crystal structure of Y3Te (PBEsol, the Alexandria database).

Cell: 6.3655 7.3584 9.7113 Å, 90.00 90.00 90.00°
Sites, in units of the cell vectors:
Te 0.9008 0.3869 0.7500
Y 0.3763 0.8022 0.0387
Te 0.5992 0.8869 0.7500
Y 0.8611 0.9816 0.2500
Y 0.8763 0.6978 0.5387
Y 0.6237 0.1978 0.5387
Te 0.0992 0.6131 0.2500
Te 0.4008 0.1131 0.2500
Y 0.3611 0.5184 0.7500
Y 0.1237 0.3022 0.4613
Y 0.6237 0.1978 0.9613
Y 0.1389 0.0184 0.7500
Y 0.8763 0.6978 0.9613
Y 0.1237 0.3022 0.0387
Y 0.3763 0.8022 0.4613
Y 0.6389 0.4816 0.2500

Values from the calculation:
As for the density of states at the Fermi level: 19.031 states/eV/cell. As for the space-group type: Pnma (62). The calculation puts the formation energy without anion corrections at -0.71 eV per atom. For the polymorph energy (0 for the lowest one), the calculation gives 0 meV per atom.

***

Record 8
# YTe3

An optimized crystal structure of YTe3 (PBEsol, the Alexandria database).

Cell: 4.1861 4.5367 6.0774 Å, 90.00 90.00 90.00°
Sites, in units of the cell vectors:
Y 0.0000 0.6795 0.5000
Te 0.5000 0.5090 0.0000
Te 0.0000 0.9948 0.0000
Te 0.5000 0.1500 0.5000

Values from the calculation:
As for the density of states at the Fermi level: 1.734 states/eV/cell. As for the space-group type: Pmm2 (25). The calculation puts the formation energy without anion corrections at -0.65 eV per atom.

***

Record 9
# Y4Te

An optimized crystal structure of Y4Te (PBEsol, the Alexandria database).

Cell: 6.0202 6.0202 6.0202 Å, 109.47 109.47 109.47°
Sites, in units of the cell vectors:
Y 0.0000 0.5000 0.0000
Y 0.5000 0.0000 0.0000
Y 0.5000 0.5000 0.5000
Te 0.0000 0.0000 0.0000
Y 0.0000 0.0000 0.5000

Values from the calculation:
As for the density of states at the Fermi level: 9.497 states/eV/cell. As for the space-group type: Im-3m (229). The calculation puts the formation energy without anion corrections at 0.05 eV per atom.

***

Record 10
# Y2Te

An optimized crystal structure of Y2Te (PBEsol, the Alexandria database).

Cell: 3.8402 3.8402 6.1807 Å, 108.10 108.10 90.00°
Sites, in units of the cell vectors:
Te 0.0000 0.0000 0.0000
Y 0.3442 0.3442 0.6884
Y 0.6558 0.6558 0.3116

Values from the calculation:
As for the density of states at the Fermi level: 1.941 states/eV/cell. As for the space-group type: I4/mmm (139). The calculation puts the formation energy without anion corrections at -0.85 eV per atom.

***

Record 11
# Y2Te

An optimized crystal structure of Y2Te (PBEsol, the Alexandria database).

Cell: 3.9273 5.0573 5.0573 Å, 120.00 90.00 90.00°
Sites, in units of the cell vectors:
Te 0.0000 0.0000 0.0000
Y 0.2448 0.3333 0.6667
Y 0.7552 0.6667 0.3333

Values from the calculation:
As for the density of states at the Fermi level: 2.215 states/eV/cell. As for the space-group type: P-3m1 (164). The calculation puts the formation energy without anion corrections at -0.55 eV per atom.

***

Record 12
# Y3Te

An optimized crystal structure of Y3Te (PBEsol, the Alexandria database).

Cell: 5.3422 5.3422 5.3422 Å, 60.00 60.00 60.00°
Sites, in units of the cell vectors:
Te 0.0000 0.0000 0.0000
Y 0.2500 0.2500 0.2500
Y 0.5000 0.5000 0.5000
Y 0.7500 0.7500 0.7500

Values from the calculation:
As for the density of states at the Fermi level: 5.247 states/eV/cell. As for the space-group type: Fm-3m (225). The calculation puts the formation energy without anion corrections at -0.24 eV per atom. For the polymorph energy (0 for the lowest one), the calculation gives 467 meV per atom.

***

Record 13
# Y5Te

An optimized crystal structure of Y5Te (PBEsol, the Alexandria database).

Cell: 3.7714 3.7714 12.2833 Å, 90.00 90.00 90.00°
Sites, in units of the cell vectors:
Y 0.5000 0.5000 0.6850
Y 0.5000 0.5000 0.3150
Y 0.0000 0.0000 0.8599
Te 0.5000 0.5000 0.0000
Y 0.0000 0.0000 0.1401
Y 0.0000 0.0000 0.5000

Values from the calculation:
As for the density of states at the Fermi level: 8.655 states/eV/cell. As for the space-group type: P4/mmm (123). The calculation puts the formation energy without anion corrections at -0.39 eV per atom. For the polymorph energy (0 for the lowest one), the calculation gives 0 meV per atom.

***

Record 14
# Y2Te

An optimized crystal structure of Y2Te (PBEsol, the Alexandria database).

Cell: 3.6953 3.6953 13.3137 Å, 97.98 97.98 90.00°
Sites, in units of the cell vectors:
Te 0.0000 0.0000 0.0000
Y 0.4323 0.4323 0.8646
Te 0.2500 0.7500 0.5000
Y 0.8177 0.3177 0.6354
Y 0.6823 0.1823 0.3646
Y 0.5677 0.5677 0.1354

Values from the calculation:
As for the density of states at the Fermi level: 8.520 states/eV/cell. As for the space-group type: I4_1/amd (141). The calculation puts the formation energy without anion corrections at -0.64 eV per atom.

***

Record 15
# YTe5

An optimized crystal structure of YTe5 (PBEsol, the Alexandria database).

Cell: 3.9524 4.6991 9.4717 Å, 90.00 102.04 90.00°
Sites, in units of the cell vectors:
Te 0.0000 0.5000 0.0000
Te 0.1507 0.0000 0.3014
Te 0.3329 0.5000 0.6657
Y 0.5000 0.0000 0.0000
Te 0.8493 0.0000 0.6986
Te 0.6671 0.5000 0.3343

Values from the calculation:
As for the density of states at the Fermi level: 2.688 states/eV/cell. As for the space-group type: Cmmm (65). The calculation puts the formation energy without anion corrections at -0.40 eV per atom.

***

Record 16
# Y2Te

An optimized crystal structure of Y2Te (PBEsol, the Alexandria database).

Cell: 3.8129 6.0128 7.7034 Å, 96.77 90.00 108.49°
Sites, in units of the cell vectors:
Te 0.7044 0.4088 0.3664
Y 0.0700 0.1400 0.5964
Te 0.9646 0.9292 0.9656
Y 0.6803 0.3607 0.9659
Y 0.3399 0.6798 0.6833
Y 0.4074 0.8148 0.2558

Values from the calculation:
As for the density of states at the Fermi level: 6.644 states/eV/cell. As for the space-group type: Cm (8). The calculation puts the formation energy without anion corrections at -0.86 eV per atom.

***

Record 17
# YTe3

An optimized crystal structure of YTe3 (PBEsol, the Alexandria database).

Cell: 4.2744 4.2749 12.9294 Å, 80.48 90.00 90.00°
Sites, in units of the cell vectors:
Te 0.2500 0.2937 0.4125
Te 0.2500 0.9271 0.1458
Y 0.7500 0.8301 0.3397
Te 0.7500 0.4271 0.1459
Y 0.2500 0.1699 0.6603
Te 0.2500 0.5729 0.8541
Te 0.7500 0.0729 0.8542
Te 0.7500 0.7063 0.5875

Values from the calculation:
As for the density of states at the Fermi level: 2.470 states/eV/cell. As for the space-group type: Cmcm (63). The calculation puts the formation energy without anion corrections at -0.96 eV per atom.

***

Record 18
# Y2Te

An optimized crystal structure of Y2Te (PBEsol, the Alexandria database).

Cell: 3.9386 3.9386 6.7948 Å, 90.00 90.00 120.00°
Sites, in units of the cell vectors:
Y 0.6667 0.3333 0.7039
Y 0.3333 0.6667 0.2961
Te 0.0000 0.0000 0.0000

Values from the calculation:
As for the density of states at the Fermi level: 3.721 states/eV/cell. As for the space-group type: P-3m1 (164). The calculation puts the formation energy without anion corrections at -0.82 eV per atom.

***

Record 19
# Y2Te3

An optimized crystal structure of Y2Te3 (PBEsol, the Alexandria database).

Cell: 7.4198 7.4198 13.5376 Å, 100.53 100.53 109.47°
Sites, in units of the cell vectors:
Te 0.1665 0.6630 0.8324
Y 0.7501 0.7501 0.5003
Y 0.0826 0.0826 0.1653
Te 0.2562 0.2562 0.0000
Te 0.6659 0.1695 0.8324
Te 0.5062 0.0062 0.5000
Y 0.2499 0.2499 0.4997
Y 0.1674 0.6674 0.3347
Te 0.3370 0.8335 0.1676
Te 0.8305 0.3341 0.1676
Y 0.9174 0.9174 0.8347
Y 0.4999 0.9999 0.9997
Te 0.0835 0.0870 0.6676
Te 0.9938 0.4938 0.5000
Te 0.5841 0.5805 0.6676
Te 0.4195 0.4159 0.3324
Y 0.3326 0.8326 0.6653
Y 0.0001 0.5001 0.0003
Te 0.7438 0.7438 0.0000
Te 0.9130 0.9165 0.3324

Values from the calculation:
As for the space-group type: Fddd (70). The calculation puts the formation energy without anion corrections at -1.42 eV per atom.

***

Record 20
# YTe5

An optimized crystal structure of YTe5 (PBEsol, the Alexandria database).

Cell: 3.8658 3.8658 11.0124 Å, 90.00 90.00 90.00°
Sites, in units of the cell vectors:
Te 0.5000 0.5000 0.3415
Te 0.5000 0.5000 0.6585
Te 0.0000 0.0000 0.8562
Te 0.0000 0.0000 0.5000
Y 0.5000 0.5000 0.0000
Te 0.0000 0.0000 0.1438

Values from the calculation:
As for the density of states at the Fermi level: 4.080 states/eV/cell. As for the space-group type: P4/mmm (123). The calculation puts the formation energy without anion corrections at -0.38 eV per atom.